[1]
First-principles (PBE) data for Na3Li after structural relaxation, as listed in the Alexandria database.

```
4
Lattice="3.519 0.000 0.000 0.000 6.207 0.000 -1.759 -3.104 5.947" Properties=species:S:1:pos:R:3 pbc="T T T"
Na 0.000 2.093 3.103
Na 1.759 3.041 0.000
Na 1.759 -1.011 2.843
Li 0.000 0.015 0.000
```

Summary:
* excess energy over the best structure of this formula in the dataset: 0.002 eV/atom
* crystal system: orthorhombic
* symmetry: No. 44
* calculated formation energy: 0.04 eV per atom

---

[2]
First-principles (PBE) data for AcLa4Sn2 after structural relaxation, as listed in the Alexandria database.

```
14
Lattice="8.554 0.000 -0.663 0.000 6.810 0.000 -3.800 0.000 8.737" Properties=species:S:1:pos:R:3 pbc="T T T"
Ac 0.762 5.108 2.940
Ac 3.993 1.703 5.134
La 3.828 3.347 1.495
La -2.779 5.108 7.803
La 7.534 1.703 0.271
La 3.828 0.058 1.495
La -1.509 1.703 4.437
La 0.927 6.752 6.578
La 0.927 3.463 6.578
La 6.264 5.108 3.637
Sn 6.568 5.108 0.198
Sn -1.813 1.703 7.876
Sn 1.362 1.703 3.209
Sn 3.393 5.108 4.864
```

Summary:
* crystal system: monoclinic
* symmetry: No. 11
* calculated formation energy: -0.42 eV per atom

---

[3]
First-principles (PBE) data for DyGa4Ru after structural relaxation, as listed in the Alexandria database.

```
12
Lattice="-3.690 -2.635 -2.246 3.456 -2.606 -2.620 0.412 -6.832 7.338" Properties=species:S:1:pos:R:3 pbc="T T T"
Dy 0.206 -3.416 3.669
Dy -0.117 -2.621 -2.433
Ga -0.868 -2.067 0.910
Ga -2.654 -3.342 -0.177
Ga 2.893 -7.379 3.904
Ga 1.220 -6.117 5.172
Ga -0.718 -6.751 3.401
Ga -0.946 -5.329 -0.833
Ga 0.957 -3.970 0.325
Ga 1.064 -8.096 2.050
Ru 0.000 0.000 0.000
Ru 0.089 -6.036 1.236
```

Summary:
* crystal system: tetragonal
* symmetry: No. 137
* calculated formation energy: 0.07 eV per atom

---

[4]
First-principles (PBE) data for Pu2NpOs after structural relaxation, as listed in the Alexandria database.

```
4
Lattice="-0.130 -4.481 -1.523 2.575 -1.300 -3.755 3.772 -2.805 0.572" Properties=species:S:1:pos:R:3 pbc="T T T"
Np 0.000 0.000 0.000
Os 3.108 -4.293 -2.353
Pu 1.554 -2.146 -1.177
Pu 4.663 -6.439 -3.530
```

Summary:
* excess energy over the best structure of this formula in the dataset: 0.000 eV/atom
* crystal system: cubic
* symmetry: No. 225
* calculated formation energy: 0.17 eV per atom

---

[5]
First-principles (PBE) data for TmInGe4 after structural relaxation, as listed in the Alexandria database.

```
6
Lattice="5.618 0.000 0.000 2.809 4.865 0.000 2.809 1.622 4.587" Properties=species:S:1:pos:R:3 pbc="T T T"
Ge 5.618 3.243 0.579
Ge 5.618 1.627 2.865
Ge 7.018 4.052 2.865
Ge 4.218 4.052 2.865
Tm 2.809 1.622 1.147
In 0.000 0.000 0.000
```

Summary:
* crystal system: cubic
* symmetry: No. 216
* calculated formation energy: -0.11 eV per atom

---

[6]
First-principles (PBE) data for SiBiC2Cl after structural relaxation, as listed in the Alexandria database.

```
5
Lattice="-2.556 -1.260 3.561 3.773 -1.057 2.335 0.215 5.077 1.950" Properties=species:S:1:pos:R:3 pbc="T T T"
C 1.887 -0.528 1.167
C -1.278 -0.630 1.781
Si 0.716 1.380 3.923
Bi 0.000 0.000 0.000
Cl 0.107 2.538 0.975
```

Summary:
* crystal system: tetragonal
* symmetry: No. 123
* formation energy from raw total energies: 2.46 eV/atom

---

[7]
First-principles (PBE) data for CsTlTc2Ge after structural relaxation, as listed in the Alexandria database.

```
5
Lattice="5.483 0.000 0.000 0.000 5.486 0.000 0.000 0.000 5.483" Properties=species:S:1:pos:R:3 pbc="T T T"
Cs 2.742 2.743 2.742
Tl 0.000 0.000 0.000
Ge 0.000 2.743 0.000
Tc 0.000 0.000 2.742
Tc 2.742 0.000 0.000
```

Summary:
* crystal system: tetragonal
* symmetry: No. 123
* calculated formation energy: 1.78 eV per atom

---

[8]
First-principles (PBE) data for MgCo2HPd after structural relaxation, as listed in the Alexandria database.

```
5
Lattice="3.676 0.000 0.000 0.000 3.676 0.000 0.000 0.000 4.126" Properties=species:S:1:pos:R:3 pbc="T T T"
H 0.000 0.000 0.000
Mg 1.838 1.838 2.063
Co 0.000 1.838 0.000
Co 1.838 0.000 0.000
Pd 0.000 0.000 2.063
```

Summary:
* excess energy over the best structure of this formula in the dataset: 0.000 eV/atom
* crystal system: tetragonal
* symmetry: No. 123

---

Total energy, record by record: -1.4235; -4.9648; -4.2648; -13.0383; -4.3934; -3.4637; -3.9372; -4.9480 eV/atom